1.
# CaTaTe2

A PBEsol-optimized structure of CaTaTe2 (SCAN, Alexandria).

Calculated values
As for the density of states at the Fermi level: 0.447 states/eV per atom. The distance to the lowest polymorph of the same formula is 0.0105 eV per atom. The value obtained for the energy relative to the elements, uncorrected is -0.487 eV/atom.

Unit cell a=3.8709 b=4.3800 c=6.9469 alpha=104.34 beta=90.00 gamma=116.22
Closest atoms and distances in Å follow each position.
Atoms (fractional coordinates):
1 Te 0.2413 0.4827 0.2163  3 Ta 2.83-2.84, 3 Ca 3.09
2 Te 0.7587 0.5173 0.7837  3 Ta 2.83-2.84, 3 Ca 3.09
3 Ta 0.5000 0.0000 0.0000  6 Te 2.83-2.84
4 Ca 0.0000 0.0000 0.5000  6 Te 3.09


2.
# PuH2

A PBEsol-optimized structure of PuH2 (SCAN, Alexandria).

Calculated values
The calculation puts the total energy at -39.22 eV/atom. As for the density of states at the Fermi level: 2.349 states/eV per atom.

Unit cell a=3.6581 b=3.6581 c=3.6581 alpha=60.00 beta=60.00 gamma=60.00
Closest atoms and distances in Å follow each position.
Atoms (fractional coordinates):
1 H 0.2500 0.2500 0.2500  4 Pu 2.24
2 H 0.7500 0.7500 0.7500  4 Pu 2.24
3 Pu 0.0000 0.0000 0.0000  8 H 2.24


3.
# CeH8S2O12

A PBEsol-optimized structure of CeH8S2O12 (SCAN, Alexandria).

Calculated values
The calculation puts the total energy at -8.83 eV/atom.

Unit cell a=5.5710 b=11.1343 c=14.5262 alpha=90.00 beta=90.00 gamma=90.00
Closest atoms and distances in Å follow each position.
Atoms (fractional coordinates):
1 H 0.1512 0.1778 0.0182  1 O 1.01
2 H 0.8488 0.6778 0.9818  1 O 1.01
3 H 0.3488 0.3222 0.5182  1 O 1.01
4 H 0.0385 0.3204 0.6750  1 O 1.00
5 H 0.2950 0.5505 0.0939  1 O 1.00
6 H 0.6296 0.1234 0.9956  1 O 1.01
7 H 0.3704 0.8766 0.0044  1 O 1.01
8 H 0.9615 0.8204 0.3250  1 O 1.00
9 H 0.9615 0.6796 0.3250  1 O 1.00
10 H 0.2950 0.9495 0.0939  1 O 1.00
11 H 0.0385 0.1796 0.6750  1 O 1.00
12 H 0.8704 0.3766 0.4956  1 O 1.01
13 H 0.1296 0.8766 0.5044  1 O 1.01
14 H 0.7050 0.0505 0.9061  1 O 1.00
15 H 0.8488 0.8222 0.9818  1 O 1.01
16 H 0.5385 0.6796 0.8250  1 O 1.00
17 H 0.6296 0.3766 0.9956  1 O 1.01
18 H 0.7950 0.4495 0.4061  1 O 1.00
19 H 0.3488 0.1778 0.5182  1 O 1.01
20 H 0.4615 0.1796 0.1750  1 O 1.00
21 H 0.1296 0.6234 0.5044  1 O 1.01
22 H 0.7050 0.4495 0.9061  1 O 1.00
23 H 0.3704 0.6234 0.0044  1 O 1.01
24 H 0.6512 0.6778 0.4818  1 O 1.01
25 H 0.1512 0.3222 0.0182  1 O 1.01
26 H 0.2050 0.5505 0.5939  1 O 1.00
27 H 0.6512 0.8222 0.4818  1 O 1.01
28 H 0.5385 0.8204 0.8250  1 O 1.00
29 H 0.7950 0.0505 0.4061  1 O 1.00
30 H 0.2050 0.9495 0.5939  1 O 1.00
31 H 0.8704 0.1234 0.4956  1 O 1.01
32 H 0.4615 0.3204 0.1750  1 O 1.00
33 O 0.8773 0.7500 0.2972  2 H 1.00
34 O 0.6108 0.3780 0.9267  2 H 1.00-1.01
35 O 0.3892 0.6220 0.0733  2 H 1.00-1.01
36 O 0.9001 0.9298 0.9089  1 S 1.48, 1 H 1.62
37 O 0.1681 0.8936 0.3946  1 S 1.48, 1 H 1.62
38 O 0.1227 0.2500 0.7028  2 H 1.00
39 O 0.1892 0.2500 0.9790  2 H 1.01
40 O 0.6456 0.9249 0.6671  1 S 1.49
41 O 0.8544 0.5751 0.1671  1 S 1.49
42 O 0.5832 0.1171 0.7396  1 S 1.49
43 O 0.3319 0.6064 0.8946  1 S 1.48, 1 H 1.62
44 O 0.6681 0.1064 0.1054  1 S 1.48, 1 H 1.62
45 O 0.1456 0.0751 0.8329  1 S 1.49
46 O 0.8319 0.1064 0.6054  1 S 1.48, 1 H 1.62
47 O 0.9168 0.1171 0.2396  1 S 1.49
48 O 0.1456 0.4249 0.8329  1 S 1.49
49 O 0.3108 0.2500 0.4790  2 H 1.01
50 O 0.8319 0.3936 0.6054  1 S 1.48, 1 H 1.62
51 O 0.8892 0.1220 0.4267  2 H 1.00-1.01
52 O 0.9001 0.5702 0.9089  1 S 1.48, 1 H 1.62
53 O 0.0999 0.4298 0.0911  1 S 1.48, 1 H 1.62
54 O 0.9168 0.3829 0.2396  1 S 1.49
55 O 0.8892 0.3780 0.4267  2 H 1.00-1.01
56 O 0.6892 0.7500 0.5210  2 H 1.01
57 O 0.5999 0.9298 0.4089  1 S 1.48, 1 H 1.62
58 O 0.0999 0.0702 0.0911  1 S 1.48, 1 H 1.62
59 O 0.4168 0.8829 0.2604  1 S 1.49
60 O 0.8544 0.9249 0.1671  1 S 1.49
61 O 0.6681 0.3936 0.1054  1 S 1.48, 1 H 1.62
62 O 0.5999 0.5702 0.4089  1 S 1.48, 1 H 1.62
63 O 0.1108 0.6220 0.5733  2 H 1.00-1.01
64 O 0.1681 0.6064 0.3946  1 S 1.48, 1 H 1.62
65 O 0.3544 0.0751 0.3329  1 S 1.49
66 O 0.6227 0.7500 0.7972  2 H 1.00
67 O 0.6108 0.1220 0.9267  2 H 1.00-1.01
68 O 0.8108 0.7500 0.0210  2 H 1.01
69 O 0.3892 0.8780 0.0733  2 H 1.00-1.01
70 O 0.6456 0.5751 0.6671  1 S 1.49
71 O 0.4001 0.0702 0.5911  1 S 1.48, 1 H 1.62
72 O 0.4168 0.6171 0.2604  1 S 1.49
73 O 0.5832 0.3829 0.7396  1 S 1.49
74 O 0.3544 0.4249 0.3329  1 S 1.49
75 O 0.3773 0.2500 0.2028  2 H 1.00
76 O 0.0832 0.6171 0.7604  1 S 1.49
77 O 0.3319 0.8936 0.8946  1 S 1.48, 1 H 1.62
78 O 0.1108 0.8780 0.5733  2 H 1.00-1.01
79 O 0.0832 0.8829 0.7604  1 S 1.49
80 O 0.4001 0.4298 0.5911  1 S 1.48, 1 H 1.62
81 S 0.1157 0.9444 0.8508  4 O 1.48-1.49
82 S 0.3843 0.9444 0.3508  4 O 1.48-1.49
83 S 0.6157 0.4444 0.6492  4 O 1.48-1.49
84 S 0.1157 0.5556 0.8508  4 O 1.48-1.49
85 S 0.3843 0.5556 0.3508  4 O 1.48-1.49
86 S 0.6157 0.0556 0.6492  4 O 1.48-1.49
87 S 0.8843 0.0556 0.1492  4 O 1.48-1.49
88 S 0.8843 0.4444 0.1492  4 O 1.48-1.49
89 Ce 0.6243 0.7500 0.1663  8 O 2.32-2.37
90 Ce 0.8757 0.7500 0.6663  8 O 2.32-2.37
91 Ce 0.3757 0.2500 0.8337  8 O 2.32-2.37
92 Ce 0.1243 0.2500 0.3337  8 O 2.32-2.37